# PBE TbZnNi, relaxed
data_TbZnNi
_chemical_formula_sum 'Tb3 Zn3 Ni3'
_space_group_name_H-M_alt 'P -6 2 m'
_space_group_IT_number 189
_space_group_name_Hall 'P -6 -2'
_cell_length_a 7.0518
_cell_length_b 7.0518
_cell_length_c 3.7753
_cell_angle_alpha 90.00
_cell_angle_beta 90.00
_cell_angle_gamma 120.00
loop_
_atom_site_label
_atom_site_type_symbol
_atom_site_fract_x
_atom_site_fract_y
_atom_site_fract_z
Tb1 Tb 0.0000 0.5894 0.0000
Zn1 Zn 0.0000 0.2418 0.5000
Ni1 Ni 0.0000 0.0000 0.0000
Ni2 Ni 0.3333 0.6667 0.5000
# Magnetic moment = 0.00 μB/cell
# Crystal system = hexagonal
# DFT formation energy = -0.453 eV/atom
# Energy above the most stable polymorph in this dataset = 0.000 eV/atom